No. 1
This record from the Open Quantum Materials Database describes crystalline BaFeCoS3 at its relaxed geometry. The functional is PBE-GGA.

Unit cell a=7.103 b=7.103 c=8.961 alpha=90.00 beta=90.00 gamma=31.48
Site moments in Bohr magnetons follow the coordinates.
Fractional positions:
1 S 0.618 0.618 0.957  0.16
2 Fe 0.475 0.475 0.250  2.97
3 S 0.618 0.618 0.543  0.15
4 S 0.062 0.062 0.250  0.10
5 Fe 0.525 0.525 0.750  2.97
6 Co 0.000 0.000 0.000  1.43
7 S 0.938 0.938 0.750  0.10
8 Ba 0.756 0.756 0.250  0.05
9 S 0.382 0.382 0.043  0.16
10 S 0.382 0.382 0.457  0.15
11 Co 0.000 0.000 0.500  1.44
12 Ba 0.244 0.244 0.750  0.05

Values from the calculation:
polymorph energy (0 for the lowest one): 10 meV per atom
space-group type: Cmcm, No. 63

No. 2
This record from the Open Quantum Materials Database describes crystalline BaFeCoS3 at its relaxed geometry. The functional is PBE-GGA.

Unit cell a=6.959 b=6.959 c=9.183 alpha=90.00 beta=90.00 gamma=31.80
Site moments in Bohr magnetons follow the coordinates.
Fractional positions:
1 S 0.379 0.379 0.448  0.01
2 S 0.621 0.621 0.948  0.01
3 Fe 0.000 0.000 0.000  2.93
4 Co 0.528 0.528 0.750  -1.25
5 S 0.621 0.621 0.552  0.01
6 Ba 0.747 0.747 0.250  0.01
7 S 0.056 0.056 0.250  -0.06
8 S 0.379 0.379 0.052  0.01
9 Ba 0.253 0.253 0.750  0.01
10 Co 0.472 0.472 0.250  -1.25
11 S 0.944 0.944 0.750  -0.06
12 Fe 0.000 0.000 0.500  2.99

Values from the calculation:
polymorph energy (0 for the lowest one): 0 meV per atom
space-group type: Cmcm, No. 63

No. 3
This record from the Open Quantum Materials Database describes crystalline Ba2FeCoS6 at its relaxed geometry. The functional is PBE-GGA.

Unit cell a=6.602 b=6.602 c=6.602 alpha=60.00 beta=60.00 gamma=60.00
Site moments in Bohr magnetons follow the coordinates.
Fractional positions:
1 Fe 0.000 0.000 0.000  2.72
2 Co 0.500 0.500 0.500  1.46
3 S 0.752 0.248 0.752  0.10
4 Ba 0.750 0.750 0.750  0.02
5 S 0.752 0.248 0.248  0.14
6 S 0.248 0.752 0.752  0.14
7 S 0.248 0.752 0.248  0.10
8 Ba 0.250 0.250 0.250  0.02
9 S 0.248 0.248 0.752  0.16
10 S 0.752 0.752 0.248  0.16

Values from the calculation:
space-group type: Fm-3m, No. 225
E_tot: -5.200 eV per atom

No. 4
This record from the Open Quantum Materials Database describes crystalline BaFeCoSe3 at its relaxed geometry. The functional is PBE-GGA.

Unit cell a=9.706 b=7.222 c=7.222 alpha=32.11 beta=90.00 gamma=90.00
Site moments in Bohr magnetons follow the coordinates.
Fractional positions:
1 Se 0.000 0.060 0.060  -0.05
2 Fe 0.750 0.000 0.000  3.00
3 Se 0.201 0.377 0.377  0.01
4 Se 0.799 0.377 0.377  0.00
5 Ba 0.000 0.752 0.752  0.01
6 Co 0.500 0.527 0.527  -1.42
7 Se 0.701 0.623 0.623  0.00
8 Fe 0.250 0.000 0.000  3.06
9 Se 0.299 0.623 0.623  0.01
10 Ba 0.500 0.248 0.248  0.01
11 Co 0.000 0.473 0.473  -1.42
12 Se 0.500 0.940 0.940  -0.05

Values from the calculation:
polymorph energy (0 for the lowest one): 0 meV per atom
space-group type: Cmcm, No. 63

No. 5
This record from the Open Quantum Materials Database describes crystalline BaFeCoSe3 at its relaxed geometry. The functional is PBE-GGA.

Unit cell a=7.298 b=7.298 c=9.372 alpha=90.00 beta=90.00 gamma=32.29
Site moments in Bohr magnetons follow the coordinates.
Fractional positions:
1 Fe 0.524 0.524 0.750  3.08
2 Se 0.618 0.618 0.540  0.08
3 Fe 0.476 0.476 0.250  3.08
4 Se 0.382 0.382 0.040  0.09
5 Ba 0.761 0.761 0.250  0.02
6 Co 0.000 0.000 0.500  -0.92
7 Co 0.000 0.000 0.000  -0.92
8 Se 0.382 0.382 0.460  0.08
9 Se 0.933 0.933 0.750  0.11
10 Se 0.067 0.067 0.250  0.11
11 Ba 0.239 0.239 0.750  0.02
12 Se 0.618 0.618 0.960  0.09

Values from the calculation:
polymorph energy (0 for the lowest one): 6 meV per atom
space-group type: Cmcm, No. 63

No. 6
This record from the Open Quantum Materials Database describes crystalline BaFeCoTe3 at its relaxed geometry. The functional is PBE-GGA.

Unit cell a=4.129 b=7.682 c=10.310 alpha=90.00 beta=90.00 gamma=74.41
Site moments in Bohr magnetons follow the coordinates.
Fractional positions:
1 Fe 0.000 0.000 0.500  2.40
2 Te 0.379 0.242 0.960  0.04
3 Co 0.533 0.934 0.250  1.22
4 Te 0.938 0.124 0.250  0.01
5 Ba 0.242 0.516 0.250  0.04
6 Te 0.621 0.758 0.040  0.04
7 Ba 0.758 0.484 0.750  0.04
8 Co 0.467 0.066 0.750  1.22
9 Te 0.621 0.758 0.460  0.03
10 Te 0.379 0.242 0.540  0.03
11 Te 0.062 0.876 0.750  0.01
12 Fe 0.000 0.000 0.000  2.39

Values from the calculation:
space-group type: Cmcm, No. 63
E_tot: -4.850 eV per atom

Total moment
In order: 10.5 3.3 5.6 3.1 5.6 7.9
Unit: μB per cell